Model P:
The following is a PBE calculation of crystalline CrReRu2 at its relaxed geometry, from Alexandria via LeMat-Bulk.

a b c (Å): 2.7017 2.7017 7.5359
angles (deg): 90.00 90.00 90.00
Element x y z (fractional)
Ru: 0.5000 0.5000 0.2646
Ru: 0.0000 0.0000 0.9982
Re: 0.5000 0.5000 0.7447
Cr: 0.0000 0.0000 0.4925

Model Q:
The following is a PBE calculation of crystalline CrReRu2 at its relaxed geometry, from Alexandria via LeMat-Bulk.

a b c (Å): 4.6437 4.6437 4.6437
angles (deg): 131.54 131.54 70.96
Element x y z (fractional)
Cr: 0.2500 0.7500 0.5000
Ru: 0.5000 0.5000 0.0000
Ru: 0.0000 0.0000 0.0000
Re: 0.7500 0.2500 0.5000

The structure with the least stability is model P.

Model P:
The following is a PBE calculation of crystalline BC2 at its relaxed geometry, from Alexandria via LeMat-Bulk.

a b c (Å): 2.4883 2.5238 12.1250
angles (deg): 90.00 90.00 90.00
Element x y z (fractional)
C: 0.5000 0.0000 0.2590
C: 0.5000 0.5000 0.8325
C: 0.5000 0.5000 0.4792
C: 0.0000 0.5000 0.0806
C: 0.0000 0.0000 0.0132
C: 0.0000 0.5000 0.4084
C: 0.0000 0.5000 0.7640
C: 0.0000 0.0000 0.3290
B: 0.5000 0.0000 0.5639
B: 0.5000 0.5000 0.1716
B: 0.0000 0.0000 0.6753
B: 0.5000 0.0000 0.9233

Model Q:
The following is a PBE calculation of crystalline BC2 at its relaxed geometry, from Alexandria via LeMat-Bulk.

a b c (Å): 2.5351 3.7970 8.0375
angles (deg): 91.18 90.00 90.00
Element x y z (fractional)
B: 0.5000 0.7271 0.0096
B: 0.5000 0.5084 0.5028
B: 0.0000 0.0173 0.9648
B: 0.0000 0.2662 0.2009
C: 0.5000 0.5090 0.8176
C: 0.0000 0.9804 0.3430
C: 0.0000 0.9980 0.6636
C: 0.0000 0.2768 0.8183
C: 0.5000 0.7591 0.6673
C: 0.0000 0.2107 0.5018
C: 0.5000 0.5043 0.1745
C: 0.5000 0.7428 0.3359

The structure with the least stability is model Q.

Model P:
The following is a PBE calculation of crystalline BC2 at its relaxed geometry, from Alexandria via LeMat-Bulk.

a b c (Å): 4.5722 4.5722 4.5725
angles (deg): 99.66 99.66 119.62
Element x y z (fractional)
B: 0.2800 0.6133 0.6509
B: 0.7567 0.0901 0.4686
B: 0.3693 0.3707 0.1315
B: 0.0374 0.7026 0.1315
C: 0.5107 0.4934 0.5060
C: 0.6732 0.3255 0.9866
C: 0.5353 0.2141 0.6353
C: 0.3420 0.6753 0.0046
C: 0.1601 0.8441 0.5060
C: 0.9922 0.0065 0.9866
C: 0.8808 0.8686 0.6353
C: 0.7122 0.0456 0.1073

Model Q:
The following is a PBE calculation of crystalline BC2 at its relaxed geometry, from Alexandria via LeMat-Bulk.

a b c (Å): 6.9669 6.7687 6.7687
angles (deg): 158.37 139.73 46.01
Element x y z (fractional)
C: 0.6005 0.6227 0.9778
C: 0.4971 0.4994 0.9977
C: 0.5245 0.8356 0.6889
C: 0.4942 0.1676 0.3266
C: 0.9965 0.9983 0.9982
C: 0.6279 0.9589 0.6690
C: 0.6308 0.2907 0.3400
C: 0.1285 0.4600 0.6685
B: 0.9400 0.6671 0.2729
B: 0.9797 0.3306 0.6491
B: 0.1850 0.7912 0.3938
B: 0.1453 0.1277 0.0176

The structure with the least stability is model Q.

Model P:
The following is a PBE calculation of crystalline LaY3Ru at its relaxed geometry, from Alexandria via LeMat-Bulk.

a b c (Å): 10.1778 10.1778 10.1778
angles (deg): 60.00 60.00 60.00
Site moments in Bohr magnetons follow the coordinates.
Element x y z (fractional)
La: 0.6250 0.1250 0.6250  0.47
La: 0.1250 0.6250 0.6250  0.49
La: 0.6250 0.6250 0.1250  0.44
La: 0.6250 0.6250 0.6250  0.44
Ru: 0.1250 0.1250 0.6250  0.05
Ru: 0.6250 0.1250 0.1250  0.04
Ru: 0.1250 0.1250 0.1250  0.05
Ru: 0.1250 0.6250 0.1250  0.05
Y: 0.4371 0.0629 0.4371  0.09
Y: 0.8129 0.8129 0.1871  0.10
Y: 0.8129 0.1871 0.8129  0.09
Y: 0.1871 0.8129 0.8129  0.08
Y: 0.4371 0.0629 0.0629  0.09
Y: 0.1871 0.8129 0.1871  0.08
Y: 0.1871 0.1871 0.8129  0.08
Y: 0.0629 0.4371 0.4371  0.08
Y: 0.4371 0.4371 0.0629  0.10
Y: 0.0629 0.4371 0.0629  0.08
Y: 0.8129 0.1871 0.1871  0.09
Y: 0.0629 0.0629 0.4371  0.08

Model Q:
The following is a PBE calculation of crystalline LaY3Ru at its relaxed geometry, from Alexandria via LeMat-Bulk.

a b c (Å): 3.8201 6.3824 13.2566
angles (deg): 78.59 106.74 107.40
Element x y z (fractional)
Ru: 0.2308 0.2060 0.0254
Ru: 0.2192 0.7395 0.7471
Y: 0.9153 0.0620 0.7822
Y: 0.7418 0.4843 0.8974
Y: 0.4968 0.5220 0.6334
Y: 0.9601 0.3767 0.1694
Y: 0.1368 0.9891 0.5399
Y: 0.7253 0.4349 0.4054
La: 0.3587 0.9073 0.3026
La: 0.5831 0.8850 0.0388

The structure with the least stability is model P.